Entry 1:
Here is Nd3Ge4Os2 after structural relaxation from the Alexandria database. Energies are from PBE-GGA.

Lattice parameters (Å, degrees): 5.9833 5.9833 8.3730 107.74 107.74 43.23
Atoms (fractional coordinates):
Nd  0.0000  0.0000  0.0000
Nd  0.3819  0.3819  0.2996
Nd  0.6181  0.6181  0.7004
Ge  0.1001  0.1001  0.4033
Ge  0.2890  0.2890  0.9174
Ge  0.7110  0.7110  0.0826
Ge  0.8999  0.8999  0.5967
Os  0.3136  0.3136  0.6374
Os  0.6864  0.6864  0.3626

Values from the calculation:
As for the density of states at the Fermi level: 4.7 states/eV/cell. For the formation energy, the calculation gives -0.595 eV/atom. For the uncorrected energy, the calculation gives -6.73 eV/atom. For the calculated density, the calculation gives 9.449 g/cm³.

=====

Entry 2:
Here is NdGe12Os4 after structural relaxation from the Alexandria database. Energies are from PBE-GGA.

Lattice parameters (Å, degrees): 7.5844 7.5844 7.5844 109.47 109.47 109.47
Atoms (fractional coordinates):
Nd  0.0000  0.0000  0.0000
Ge  0.1558  0.4959  0.3401
Ge  0.1558  0.8158  0.6599
Ge  0.1842  0.3401  0.8442
Ge  0.3401  0.1558  0.4959
Ge  0.3401  0.8442  0.1842
Ge  0.4959  0.3401  0.1558
Ge  0.5041  0.6599  0.8442
Ge  0.6599  0.1558  0.8158
Ge  0.6599  0.8442  0.5041
Ge  0.8158  0.6599  0.1558
Ge  0.8442  0.1842  0.3401
Ge  0.8442  0.5041  0.6599
Os  0.0000  0.0000  0.5000
Os  0.0000  0.5000  0.0000
Os  0.5000  0.0000  0.0000
Os  0.5000  0.5000  0.5000

Values from the calculation:
As for the density of states at the Fermi level: 8.4 states/eV/cell. For the formation energy, the calculation gives 0.091 eV/atom. For the uncorrected energy, the calculation gives -6.09 eV/atom. For the calculated density, the calculation gives 8.785 g/cm³.

=====

Entry 3:
Here is Nd2Ge6Os after structural relaxation from the Alexandria database. Energies are from PBE-GGA.

Lattice parameters (Å, degrees): 6.1007 6.1007 5.5067 90.00 90.00 120.00
Atoms (fractional coordinates):
Nd  0.3333  0.6667  0.3126
Nd  0.6667  0.3333  0.6874
Ge  0.1800  0.3600  0.8096
Ge  0.1800  0.8200  0.8096
Ge  0.3600  0.1800  0.1904
Ge  0.6400  0.8200  0.8096
Ge  0.8200  0.1800  0.1904
Ge  0.8200  0.6400  0.1904
Os  0.0000  0.0000  0.5000

Values from the calculation:
As for the density of states at the Fermi level: 4.1 states/eV/cell. For the formation energy, the calculation gives -0.401 eV/atom. For the uncorrected energy, the calculation gives -5.79 eV/atom. For the calculated density, the calculation gives 8.553 g/cm³.

=====

For the records above, the corresponding total magnetic moment values read 0.00, 0.00, 0.00 μB/f.u..